35
Lattice="-1.951 1.951 32.117 1.951 -1.951 32.117 1.951 1.951 -32.117" Properties=species:S:1:pos:R:3 comment="Sr10MnRu4O20 PBE+U relaxed" final_energy_ev_per_atom=-6.71 pbc="T T T"
Sr 0.000 0.000 1.754
Sr 0.000 0.000 10.916
Sr 0.000 0.000 14.737
Sr 0.000 0.000 23.845
Sr 0.000 0.000 27.713
Sr 0.000 0.000 36.520
Sr 0.000 0.000 40.388
Sr 0.000 0.000 49.496
Sr 0.000 0.000 53.317
Sr 0.000 0.000 62.479
Mn 0.000 0.000 32.117
Ru 0.000 0.000 6.365
Ru 0.000 0.000 19.289
Ru 0.000 0.000 44.944
Ru 0.000 0.000 57.869
O 1.951 0.000 0.000
O 0.000 0.000 4.302
O 1.951 0.000 6.385
O 0.000 0.000 8.480
O 1.951 0.000 12.831
O 0.000 0.000 17.183
O 1.951 0.000 19.286
O 0.000 0.000 21.389
O 1.951 0.000 25.732
O 0.000 0.000 30.110
O 0.000 1.951 0.000
O 0.000 0.000 34.123
O 0.000 1.951 6.385
O 0.000 0.000 42.844
O 0.000 1.951 12.831
O 0.000 0.000 47.050
O 0.000 1.951 19.286
O 0.000 0.000 55.753
O 0.000 1.951 25.732
O 0.000 0.000 59.932